DFT (PBE) results for a relaxed MgCrIn2 crystal.

Results
DOS at the Fermi energy: 1.51 states/eV/cell
Density: 6.0 g cm⁻³
E_form: 0.20 eV/atom

Structure (POSCAR):
```
MgCrIn2
1.0
-2.082 -4.235 -1.780
0.795 -4.961 -0.438
-2.597 -1.813 4.586
Cr In Mg
1 2 1
Cartesian
-0.971 -2.752 0.592
-1.313 -9.171 -2.148
-1.916 -5.529 1.115
-2.913 -8.257 1.777
```